Compound: HoInCo2
Source: OQMD
Functional: PBE-GGA
Structure: relaxed

The total energy comes out at -5.639 eV per atom.

Cell: 4.998 3.993 7.130 Å, 90.00 90.00 90.00°
Site moments in Bohr magnetons follow the coordinates.
Element x y z (fractional)
Co1 0.250 0.000 0.409  1.06
Co2 0.000 0.500 0.500  1.42
Co3 0.500 0.500 0.500  1.38
Co4 0.750 0.000 0.591  1.06
Ho1 0.750 0.000 0.223  -0.15
Ho2 0.250 0.000 0.777  -0.15
In1 0.250 0.500 0.148  -0.01
In2 0.750 0.500 0.852  -0.01

Compound: HoInCo2
Source: OQMD
Functional: PBE-GGA
Structure: relaxed

The total energy comes out at -5.638 eV per atom.

Cell: 4.995 4.004 7.078 Å, 90.00 90.00 90.00°
Site moments in Bohr magnetons follow the coordinates.
Element x y z (fractional)
Co1 0.000 0.500 0.000  1.42
Co2 0.500 0.500 0.000  1.38
Co3 0.750 0.000 0.094  1.04
Co4 0.250 0.000 0.906  1.04
Ho1 0.250 0.000 0.278  -0.15
Ho2 0.750 0.000 0.722  -0.15
In1 0.750 0.500 0.353  -0.02
In2 0.250 0.500 0.647  -0.02

Compound: Ho12InCo6
Source: OQMD
Functional: PBE-GGA
Structure: relaxed

The total energy comes out at -5.540 eV per atom.

Cell: 8.305 8.305 8.305 Å, 109.47 109.47 109.47°
Element x y z (fractional)
Co1 0.500 0.613 0.113
Co2 0.887 0.500 0.387
Co3 0.613 0.113 0.500
Co4 0.387 0.887 0.500
Co5 0.113 0.500 0.613
Co6 0.500 0.387 0.887
Ho1 0.302 0.806 0.109
Ho2 0.496 0.302 0.194
Ho3 0.891 0.698 0.194
Ho4 0.806 0.109 0.302
Ho5 0.194 0.496 0.302
Ho6 0.302 0.194 0.496
Ho7 0.698 0.806 0.504
Ho8 0.806 0.504 0.698
Ho9 0.194 0.891 0.698
Ho10 0.109 0.302 0.806
Ho11 0.504 0.698 0.806
Ho12 0.698 0.194 0.891
In1 0.000 0.000 0.000

Compound: Ho8In3Co
Source: OQMD
Functional: PBE-GGA
Structure: relaxed

The total energy comes out at -4.685 eV per atom.

Cell: 10.317 10.317 6.972 Å, 90.00 90.00 120.00°
Element x y z (fractional)
Co1 0.333 0.667 0.217
Co2 0.667 0.333 0.717
Ho1 0.000 0.000 0.007
Ho2 0.667 0.333 0.104
Ho3 0.178 0.357 0.287
Ho4 0.178 0.822 0.287
Ho5 0.643 0.822 0.287
Ho6 0.535 0.070 0.495
Ho7 0.535 0.465 0.495
Ho8 0.930 0.465 0.495
Ho9 0.000 0.000 0.507
Ho10 0.333 0.667 0.604
Ho11 0.357 0.178 0.787
Ho12 0.822 0.178 0.787
Ho13 0.822 0.643 0.787
Ho14 0.070 0.535 0.995
Ho15 0.465 0.535 0.995
Ho16 0.465 0.930 0.995
In1 0.837 0.163 0.249
In2 0.326 0.163 0.249
In3 0.837 0.674 0.249
In4 0.163 0.326 0.749
In5 0.163 0.837 0.749
In6 0.674 0.837 0.749

Compound: HoIn5Co
Source: OQMD
Functional: PBE-GGA
Structure: relaxed

The total energy comes out at -3.861 eV per atom.

Cell: 4.583 4.583 7.491 Å, 90.00 90.00 90.00°
Element x y z (fractional)
Co1 0.000 0.000 0.500
Ho1 0.000 0.000 0.000
In1 0.500 0.500 0.000
In2 0.500 0.000 0.306
In3 0.000 0.500 0.306
In4 0.500 0.000 0.694
In5 0.000 0.500 0.694

Compound: HoInCo
Source: OQMD
Functional: PBE-GGA
Structure: relaxed

The total energy comes out at -4.208 eV per atom.

Cell: 4.709 4.709 4.709 Å, 60.00 60.00 60.00°
Site moments in Bohr magnetons follow the coordinates.
Element x y z (fractional)
Co1 0.750 0.750 0.750  1.14
Ho1 0.000 0.000 0.000  -0.19
In1 0.250 0.250 0.250  -0.04

Compound: HoInCo2
Source: OQMD
Functional: PBE-GGA
Structure: relaxed

The total energy comes out at -4.978 eV per atom.

Cell: 5.525 4.286 6.289 Å, 90.00 90.00 90.00°
Site moments in Bohr magnetons follow the coordinates.
Element x y z (fractional)
Co1 0.750 0.500 0.089  1.09
Co2 0.000 0.500 0.500  0.95
Co3 0.500 0.500 0.500  0.95
Co4 0.250 0.500 0.911  1.09
Ho1 0.750 0.000 0.347  -0.22
Ho2 0.250 0.000 0.653  -0.22
In1 0.250 0.000 0.158  -0.02
In2 0.750 0.000 0.842  -0.02

Compound: Ho3In4Co2
Source: OQMD
Functional: PBE-GGA
Structure: relaxed

The total energy comes out at -4.554 eV per atom.

Cell: 8.130 8.131 3.486 Å, 90.00 90.00 120.00°
Element x y z (fractional)
Co1 0.000 0.000 0.000
Co2 0.333 0.667 0.500
Ho1 0.260 0.011 0.500
Ho2 0.989 0.249 0.500
Ho3 0.751 0.740 0.500
In1 0.367 0.419 0.000
In2 0.052 0.633 0.000
In3 0.581 0.948 0.000
In4 0.667 0.333 0.500

Compound: HoIn2Co
Source: OQMD
Functional: PBE-GGA
Structure: relaxed

The total energy comes out at -4.486 eV per atom.

Cell: 10.090 10.090 4.003 Å, 90.00 90.00 154.63°
Element x y z (fractional)
Co1 0.921 0.079 0.000
Co2 0.079 0.921 0.000
Ho1 0.634 0.366 0.500
Ho2 0.366 0.634 0.500
In1 0.794 0.206 0.000
In2 0.500 0.500 0.000
In3 0.206 0.794 0.000
In4 0.000 0.000 0.500

Compound: NdHoInCo2
Source: OQMD
Functional: PBE-GGA
Structure: relaxed

The total energy comes out at -5.554 eV per atom.

Cell: 3.965 7.205 7.205 Å, 31.08 90.00 90.00°
Site moments in Bohr magnetons follow the coordinates.
Element x y z (fractional)
Co1 0.000 0.210 0.210  0.87
Co2 0.000 0.796 0.796  0.89
Ho1 0.500 0.360 0.360  -0.16
In1 0.000 0.996 0.996  -0.03
Nd1 0.500 0.638 0.638  -0.10

Compound: HoInCoSe3
Source: OQMD
Functional: PBE-GGA
Structure: relaxed

The total energy comes out at -4.991 eV per atom.

Cell: 3.952 7.465 10.582 Å, 90.00 90.00 74.65°
Site moments in Bohr magnetons follow the coordinates.
Element x y z (fractional)
Co1 0.524 0.952 0.250  1.86
Co2 0.476 0.048 0.750  1.86
Ho1 0.000 0.000 0.000  0.02
Ho2 0.000 0.000 0.500  0.02
In1 0.246 0.508 0.250  0.00
In2 0.754 0.492 0.750  0.00
Se1 0.631 0.738 0.075  0.08
Se2 0.925 0.150 0.250  0.10
Se3 0.631 0.738 0.425  0.08
Se4 0.369 0.262 0.575  0.08
Se5 0.075 0.850 0.750  0.10
Se6 0.369 0.262 0.925  0.08

Compound: SmHoInCo2
Source: OQMD
Functional: PBE-GGA
Structure: relaxed

The total energy comes out at -5.566 eV per atom.

Cell: 3.929 7.172 7.172 Å, 31.07 90.00 90.00°
Site moments in Bohr magnetons follow the coordinates.
Element x y z (fractional)
Co1 0.000 0.209 0.209  0.85
Co2 0.000 0.795 0.795  0.87
Ho1 0.500 0.361 0.361  -0.16
In1 0.000 0.998 0.998  -0.03
Sm1 0.500 0.638 0.638  -0.10

Compound: Ho4InCo2Sn4
Source: OQMD
Functional: PBE-GGA
Structure: relaxed

The total energy comes out at -5.194 eV per atom.

Cell: 8.238 8.238 7.424 Å, 108.32 108.32 32.11°
Element x y z (fractional)
Co1 0.774 0.774 0.372
Co2 0.226 0.226 0.628
Ho1 0.346 0.346 0.042
Ho2 0.593 0.593 0.396
Ho3 0.407 0.407 0.604
Ho4 0.654 0.654 0.958
In1 0.000 0.000 0.000
Sn1 0.202 0.202 0.264
Sn2 0.926 0.926 0.326
Sn3 0.074 0.074 0.674
Sn4 0.798 0.798 0.736

Compound: HoInCoTe3
Source: OQMD
Functional: PBE-GGA
Structure: relaxed

The total energy comes out at -4.530 eV per atom.

Cell: 7.989 7.989 11.038 Å, 90.00 90.00 29.78°
Site moments in Bohr magnetons follow the coordinates.
Element x y z (fractional)
Co1 0.476 0.476 0.250  1.61
Co2 0.524 0.524 0.750  1.61
Ho1 0.000 0.000 0.000  0.02
Ho2 0.000 0.000 0.500  0.02
In1 0.755 0.755 0.250  0.01
In2 0.245 0.245 0.750  0.01
Te1 0.365 0.365 0.075  0.06
Te2 0.079 0.079 0.250  0.06
Te3 0.365 0.365 0.425  0.06
Te4 0.635 0.635 0.575  0.06
Te5 0.921 0.921 0.750  0.06
Te6 0.635 0.635 0.925  0.06

Compound: HoTmInCo2
Source: OQMD
Functional: PBE-GGA
Structure: relaxed

The total energy comes out at -5.560 eV per atom.

Cell: 3.859 7.097 7.097 Å, 31.03 90.00 90.00°
Site moments in Bohr magnetons follow the coordinates.
Element x y z (fractional)
Co1 0.500 0.205 0.205  0.81
Co2 0.500 0.794 0.794  0.80
Ho1 0.000 0.361 0.361  -0.14
In1 0.500 0.001 0.001  -0.03
Tm1 0.000 0.640 0.640  -0.14

Compound: YHoInCo2
Source: OQMD
Functional: PBE-GGA
Structure: relaxed

The total energy comes out at -5.947 eV per atom.

Cell: 3.894 7.171 7.171 Å, 30.83 90.00 90.00°
Site moments in Bohr magnetons follow the coordinates.
Element x y z (fractional)
Co1 0.500 0.205 0.205  -0.88
Co2 0.500 0.793 0.793  -0.88
Ho1 0.000 0.640 0.640  0.15
In1 0.500 0.001 0.001  0.03
Y1 0.000 0.362 0.362  0.10

Compound: YHoIn4Co2
Source: OQMD
Functional: PBE-GGA
Structure: relaxed

The total energy comes out at -4.820 eV per atom.

Cell: 7.598 5.562 5.562 Å, 45.23 90.00 90.00°
Element x y z (fractional)
Co1 0.500 0.285 0.285
Co2 0.000 0.715 0.715
Ho1 0.000 0.434 0.434
In1 0.199 0.146 0.146
In2 0.801 0.146 0.146
In3 0.300 0.854 0.854
In4 0.700 0.854 0.854
Y1 0.500 0.566 0.566

Compound: Ho2ZnInCo
Source: OQMD
Functional: PBE-GGA
Structure: relaxed

The total energy comes out at -4.431 eV per atom.

Cell: 3.689 7.346 7.346 Å, 32.28 90.00 90.00°
Element x y z (fractional)
Co1 0.000 0.797 0.797
Ho1 0.500 0.366 0.366
Ho2 0.500 0.638 0.638
In1 0.000 0.995 0.995
Zn1 0.000 0.203 0.203

Compound: HoCoIr
Source: OQMD
Functional: PBE-GGA
Structure: relaxed

The calculation puts the formation energy at -0.58 eV per atom.

Cell: 5.177 5.177 5.177 Å, 121.89 117.37 90.69°
Site moments in Bohr magnetons follow the coordinates.
Element x y z (fractional)
Co1 0.000 0.500 0.000  0.82
Co2 0.000 0.000 0.500  0.82
Ho1 0.371 0.121 0.250  -0.12
Ho2 0.629 0.879 0.750  -0.12
Ir1 0.500 0.500 0.000  0.07
Ir2 0.000 0.500 0.500  0.06

Compound: HoCoIr
Source: OQMD
Functional: PBE-GGA
Structure: relaxed

The calculation puts the formation energy at 0.03 eV per atom.

Cell: 4.429 4.429 4.429 Å, 60.00 60.00 60.00°
Element x y z (fractional)
Co1 0.750 0.750 0.750
Ho1 0.250 0.250 0.250
Ir1 0.000 0.000 0.000

Compound: HoCoIr
Source: OQMD
Functional: PBE-GGA
Structure: relaxed

The calculation puts the formation energy at 0.59 eV per atom.

Cell: 4.361 4.361 4.361 Å, 60.00 60.00 60.00°
Site moments in Bohr magnetons follow the coordinates.
Element x y z (fractional)
Co1 0.250 0.250 0.250  1.21
Ho1 0.000 0.000 0.000  -0.14
Ir1 0.750 0.750 0.750  0.20